Density functional theory data (GGA-PBE) for a relaxed PmPrDyTm3 crystal.

```
PmPrDyTm3
1.0
2.920 -5.659 0.000
2.920 5.659 0.000
0.000 0.000 11.689
Pm Pr Dy Tm
2 2 2 6
Cartesian
2.920 5.621 8.767 Pm
2.920 -5.621 2.922 Pm
2.920 0.000 0.000 Pr
2.920 0.000 5.845 Pr
2.920 1.991 8.767 Dy
2.920 -1.991 2.922 Dy
2.920 3.709 0.037 Tm
2.920 3.709 5.807 Tm
2.920 1.943 2.922 Tm
2.920 -1.943 8.767 Tm
2.920 -3.709 5.882 Tm
2.920 -3.709 11.652 Tm
```

- VASP energy: -4.4790 eV per atom
- Crystal system: orthorhombic
- E_form: 10.8 kJ per mole of atoms